# 1
Density functional theory data (PBE) for Tb2RhI3 after structural relaxation.

The structure belongs to space group C2/m (No. 12); the cell edges are 18.0382, 4.3145 and 12.5120 Å and the angles 90.00°, 121.75° and 90.00°. The asymmetric unit holds Tb at (0.0772, 0.0000, 0.4062), Tb at (0.1309, 0.5000, 0.8023), Rh at (0.0802, 0.0000, 0.6378), I at (0.0527, 0.5000, 0.2109), I at (0.1631, 0.0000, 0.0218) and I at (0.2022, 0.5000, 0.6049).

The density of states at the Fermi level comes out at 0.012 states/eV/f.u. Its electronic total energy is -4.56 eV/atom. For the spin magnetization, the calculation gives 0.000 Bohr magnetons per cell.

---

# 2
Density functional theory data (PBE) for Y2TeAs after structural relaxation.

The structure belongs to space group Fm-3m (No. 225); the cell edges are 7.3911, 7.3911 and 7.3911 Å and the angles 90.00°, 90.00° and 90.00°. The asymmetric unit holds Y at (0.2500, 0.2500, 0.2500), Te at (0.0000, 0.0000, 0.0000) and As at (0.0000, 0.0000, 0.5000).

The density of states at the Fermi level comes out at 3.382 states/eV/f.u. Its electronic total energy is -6.27 eV/atom. For the spin magnetization, the calculation gives 2.930 Bohr magnetons per cell.

---

# 3
Density functional theory data (PBE) for Na2ZrCl5 after structural relaxation.

The structure belongs to space group Cm (No. 8); the cell edges are 13.0337, 7.6200 and 7.5159 Å and the angles 90.00°, 110.15° and 90.00°. The asymmetric unit holds Na at (0.0000, 0.0000, 0.0000), Na at (0.0220, 0.5000, 0.4906), Zr at (0.1079, 0.5000, 0.0285), Cl at (0.0186, 0.2747, 0.7714), Cl at (0.0740, 0.2748, 0.2516) and Cl at (0.2998, 0.5000, 0.0800).

Its electronic total energy is -4.19 eV/atom. For the spin magnetization, the calculation gives 2.000 Bohr magnetons per cell.

---

# 4
Density functional theory data (PBE) for Pm4SeBr5 after structural relaxation.

The structure belongs to space group C2/m (No. 12); the cell edges are 18.5285, 4.0690 and 8.6218 Å and the angles 90.00°, 104.16° and 90.00°. The asymmetric unit holds Pm at (0.0022, 0.0000, 0.2758), Pm at (0.1535, 0.5000, 0.5740), Se at (0.0000, 0.5000, 0.5000), Br at (0.0000, 0.5000, 0.0000), Br at (0.1634, 0.0000, 0.8322) and Br at (0.1737, 0.0000, 0.3240).

The density of states at the Fermi level comes out at 2.896 states/eV/f.u. Its electronic total energy is -4.71 eV/atom. For the spin magnetization, the calculation gives 0.000 Bohr magnetons per cell.